# PmDy2In4

An optimized crystal structure of PmDy2In4 (PBE, the Alexandria database).

Cell: 5.293 5.293 14.744 Å, 90.00 90.00 90.00°
Element x y z (fractional)
1 Pm 0.000 0.000 0.000
2 Pm 0.500 0.500 0.500
3 Dy 0.000 0.000 0.253
4 Dy 0.000 0.000 0.747
5 Dy 0.500 0.500 0.247
6 Dy 0.500 0.500 0.753
7 In 0.000 0.500 0.120
8 In 0.000 0.500 0.380
9 In 0.000 0.500 0.620
10 In 0.000 0.500 0.880
11 In 0.500 0.000 0.120
12 In 0.500 0.000 0.380
13 In 0.500 0.000 0.620
14 In 0.500 0.000 0.880

Results
As for the mass density: 7.47 g cm⁻³. As for the space-group type: I4/mmm (139). The final energy is -3.86 eV/atom. The formation energy comes out at -300 meV/atom.